Crystalline AlNiIrO6 at its relaxed geometry. Source: the Alexandria database, functional PBE+U.

VASP energy, Ha/atom: -0.2300
Magnetization, Bohr magnetons per cell: 3.1

Cell: 4.9746 4.9746 8.6796 Å, 90.00 90.00 120.00°
Last column: nearest neighbours and their distance in Å.
Sites, in units of the cell vectors:
Al  0.3333  0.6667  0.2500  6 O 1.90
Al  0.6667  0.3333  0.7500  6 O 1.90
Ni  0.0000  0.0000  0.0000  6 O 2.09
Ni  0.0000  0.0000  0.5000  6 O 2.09
Ir  0.3333  0.6667  0.7500  6 O 1.93
Ir  0.6667  0.3333  0.2500  6 O 1.93
O  0.0049  0.3531  0.1323  1 Al 1.90, 1 Ir 1.93, 1 Ni 2.09
O  0.0049  0.6518  0.3677  1 Al 1.90, 1 Ir 1.93, 1 Ni 2.09
O  0.3482  0.3531  0.3677  1 Al 1.90, 1 Ir 1.93, 1 Ni 2.09
O  0.3482  0.9951  0.1323  1 Al 1.90, 1 Ir 1.93, 1 Ni 2.09
O  0.3531  0.0049  0.6323  1 Al 1.90, 1 Ir 1.93, 1 Ni 2.09
O  0.3531  0.3482  0.8677  1 Al 1.90, 1 Ir 1.93, 1 Ni 2.09
O  0.6469  0.6518  0.1323  1 Al 1.90, 1 Ir 1.93, 1 Ni 2.09
O  0.6469  0.9951  0.3677  1 Al 1.90, 1 Ir 1.93, 1 Ni 2.09
O  0.6518  0.0049  0.8677  1 Al 1.90, 1 Ir 1.93, 1 Ni 2.09
O  0.6518  0.6469  0.6323  1 Al 1.90, 1 Ir 1.93, 1 Ni 2.09
O  0.9951  0.3482  0.6323  1 Al 1.90, 1 Ir 1.93, 1 Ni 2.09
O  0.9951  0.6469  0.8677  1 Al 1.90, 1 Ir 1.93, 1 Ni 2.09